The following is a PBE-GGA calculation of a relaxed SrNbRhSe2 crystal, from Alexandria. Values from VASP.

Structure (Quantum ESPRESSO input):
```
&SYSTEM
  ibrav = 0, nat = 5, ntyp = 4
/
ATOMIC_SPECIES
Se 78.96 Se.upf
Nb 92.91 Nb.upf
Sr 87.62 Sr.upf
Rh 102.91 Rh.upf
CELL_PARAMETERS angstrom
-3.7642 1.8859 -2.5601
-1.0875 -5.5600 -2.4968
-3.0597 -1.0684 3.7117
ATOMIC_POSITIONS crystal
Se 0.5000 0.0000 0.0000
Se 0.0000 0.0000 0.5000
Nb 0.0000 0.0000 0.0000
Sr 0.0000 0.5000 0.0000
Rh 0.5000 0.5000 0.5000
```

density of states at the Fermi level = 1.4627 states/eV/atom
energy = -23.72 eV for the cell shown
spin magnetization = 1.61 μB/cell
energy relative to the elements, uncorrected = 0.4708 eV/atom
symmetry = P4/mmm
mass density = 4875 kg/m3



The following is a PBE-GGA calculation of a relaxed Li5Ge crystal, from Alexandria. Values from VASP.

Structure (Quantum ESPRESSO input):
```
&SYSTEM
  ibrav = 0, nat = 6, ntyp = 2
/
ATOMIC_SPECIES
Ge 72.64 Ge.upf
Li 6.94 Li.upf
CELL_PARAMETERS angstrom
4.5829 0.0000 0.0000
0.0000 4.6275 0.0000
0.0000 -2.3137 4.5939
ATOMIC_POSITIONS crystal
Ge 0.0000 0.0000 0.0000
Li 0.0000 0.3338 0.6675
Li 0.5000 0.5000 0.0000
Li 0.5000 0.1467 0.2934
Li 0.0000 0.6662 0.3325
Li 0.5000 0.8533 0.7066
```

formation enthalpy at 0 K = -0.220 eV/atom
density of states at the Fermi level = 0.3331 states/eV/atom
energy = -15.51 eV for the cell shown
spin magnetization = 0.00 μB/cell
symmetry = Cmmm
mass density = 1830 kg/m3



The following is a PBE-GGA calculation of a relaxed CuBiIrOs2 crystal, from Alexandria. Values from VASP.

Structure (Quantum ESPRESSO input):
```
&SYSTEM
  ibrav = 0, nat = 5, ntyp = 4
/
ATOMIC_SPECIES
Cu 63.55 Cu.upf
Os 190.23 Os.upf
Ir 192.22 Ir.upf
Bi 208.98 Bi.upf
CELL_PARAMETERS angstrom
-2.8329 -1.7603 3.3602
2.7055 -4.6068 -0.1324
2.9402 1.6310 3.3332
ATOMIC_POSITIONS crystal
Cu 0.5000 0.5000 0.5000
Os 0.0000 0.0000 0.5000
Ir 0.0000 0.0000 0.0000
Bi 0.0000 0.5000 0.0000
Os 0.5000 0.0000 0.0000
```

formation enthalpy at 0 K = 2.035 eV/atom
density of states at the Fermi level = 1.1727 states/eV/atom
energy = -29.12 eV for the cell shown
spin magnetization = 0.34 μB/cell
symmetry = P4/mmm
mass density = 11717 kg/m3



The following is a PBE-GGA calculation of a relaxed TbEuHoTm crystal, from Alexandria. Values from VASP.

Structure (Quantum ESPRESSO input):
```
&SYSTEM
  ibrav = 0, nat = 4, ntyp = 4
/
ATOMIC_SPECIES
Tm 168.93 Tm.upf
Ho 164.93 Ho.upf
Tb 158.93 Tb.upf
Eu 151.96 Eu.upf
CELL_PARAMETERS angstrom
5.7132 0.0000 0.0000
2.8566 4.9478 0.0000
2.8566 1.6493 4.6648
ATOMIC_POSITIONS crystal
Tm 0.2500 0.2500 0.2500
Ho 0.5000 0.5000 0.5000
Tb 0.0000 0.0000 0.0000
Eu 0.7500 0.7500 0.7500
```

formation enthalpy at 0 K = 0.166 eV/atom
density of states at the Fermi level = 1.8023 states/eV/atom
energy = -23.29 eV for the cell shown
spin magnetization = 8.22 μB/cell
symmetry = F-43m
mass density = 8119 kg/m3



The following is a PBE-GGA calculation of a relaxed Ir2RhBr crystal, from Alexandria. Values from VASP.

Structure (Quantum ESPRESSO input):
```
&SYSTEM
  ibrav = 0, nat = 4, ntyp = 3
/
ATOMIC_SPECIES
Ir 192.22 Ir.upf
Br 79.90 Br.upf
Rh 102.91 Rh.upf
CELL_PARAMETERS angstrom
-0.4026 -1.8779 2.0739
2.2231 1.7456 -0.0098
-5.0358 6.4403 4.8541
ATOMIC_POSITIONS crystal
Ir 0.0000 0.0000 0.0126
Br 0.5000 0.5000 0.7500
Ir 0.0000 0.0000 0.4874
Rh 0.5000 0.5000 0.2500
```

density of states at the Fermi level = 1.5846 states/eV/atom
energy = -23.66 eV for the cell shown
spin magnetization = 0.00 μB/cell
energy relative to the elements, uncorrected = 0.7713 eV/atom
symmetry = Cmmm
mass density = 14568 kg/m3



The following is a PBE-GGA calculation of a relaxed Y2TaPd9 crystal, from Alexandria. Values from VASP.

Structure (Quantum ESPRESSO input):
```
&SYSTEM
  ibrav = 0, nat = 12, ntyp = 3
/
ATOMIC_SPECIES
Y 88.91 Y.upf
Pd 106.42 Pd.upf
Ta 180.95 Ta.upf
CELL_PARAMETERS angstrom
4.0697 0.0000 0.0000
0.0000 4.0697 0.0000
0.0000 0.0000 12.2545
ATOMIC_POSITIONS crystal
Y 0.0000 0.0000 0.6667
Pd 0.5000 0.0000 0.8475
Y 0.0000 0.0000 0.3333
Pd 0.5000 0.0000 0.5000
Pd 0.5000 0.5000 0.3259
Pd 0.5000 0.5000 0.0000
Pd 0.0000 0.5000 0.8475
Pd 0.5000 0.5000 0.6741
Ta 0.0000 0.0000 0.0000
Pd 0.0000 0.5000 0.5000
Pd 0.5000 0.0000 0.1525
Pd 0.0000 0.5000 0.1525
```

formation enthalpy at 0 K = -0.751 eV/atom
density of states at the Fermi level = 0.1503 states/eV/atom
energy = -80.53 eV for the cell shown
spin magnetization = 0.00 μB/cell
symmetry = P4/mmm
mass density = 10771 kg/m3